First-principles (PBE) data for Sm12RuPb6 after structural relaxation, as listed in the Alexandria database.

a = 8.782 Å, b = 8.782 Å, c = 8.782 Å
α = 99.00°, β = 99.00°, γ = 99.00°
Sites, in units of the cell vectors:
Sm1 0.800 0.578 0.447
Sm2 0.447 0.800 0.578
Sm3 0.578 0.447 0.800
Sm4 0.200 0.422 0.553
Sm5 0.553 0.200 0.422
Sm6 0.422 0.553 0.200
Sm7 0.048 0.004 0.316
Sm8 0.996 0.684 0.952
Sm9 0.684 0.952 0.996
Sm10 0.952 0.996 0.684
Sm11 0.004 0.316 0.048
Sm12 0.316 0.048 0.004
Ru1 0.000 0.000 0.000
Pb1 0.680 0.880 0.342
Pb2 0.658 0.320 0.120
Pb3 0.120 0.658 0.320
Pb4 0.320 0.120 0.658
Pb5 0.342 0.680 0.880
Pb6 0.880 0.342 0.680

Computed properties:
Its magnetic moment is 0.00 Bohr magnetons per cell. The energy relative to the elements comes out at -272 meV/atom. Its theoretical density is 8.05 g/cm3. The total energy is -4.912 eV per atom.